Below is a relaxed NaMg2TlCo crystal, with properties calculated at the PBE level.

Geometry as extended XYZ:
```
5
Lattice="-4.852 0.693 -0.334 -0.762 -4.023 2.716 0.112 2.800 4.179" Properties=species:S:1:pos:R:3 pbc="T T T"
Mg -2.426 0.347 -0.167
Co 0.000 0.000 0.000
Mg -0.381 -2.011 1.358
Na -2.751 -0.265 3.280
Tl 0.056 1.400 2.090
```

Output
size of the total moment	0.00	μB per formula unit
total DFT energy (no corrections)	-13.4	eV per cell
ΔE_f	121	meV/atom

Below is a relaxed NaMgTl2Co crystal, with properties calculated at the PBE level.

Geometry as extended XYZ:
```
5
Lattice="5.069 0.000 0.000 0.000 5.069 0.000 0.000 0.000 4.922" Properties=species:S:1:pos:R:3 pbc="T T T"
Na 2.535 2.535 2.461
Tl 0.000 2.535 0.000
Co 0.000 0.000 0.000
Mg 0.000 0.000 2.461
Tl 2.535 0.000 0.000
```

Output
size of the total moment	0.00	μB per formula unit
total DFT energy (no corrections)	-14.3	eV per cell
ΔE_f	99	meV/atom

Below is a relaxed MgNbCo2 crystal, with properties calculated at the PBE level.

Geometry as extended XYZ:
```
4
Lattice="3.067 0.000 0.000 0.000 3.067 0.000 0.000 0.000 6.142" Properties=species:S:1:pos:R:3 pbc="T T T"
Co 0.000 0.000 1.383
Co 0.000 0.000 4.758
Nb 1.534 1.534 0.000
Mg 1.534 1.534 3.071
```

Output
size of the total moment	0.53	μB per formula unit
total DFT energy (no corrections)	-26.2	eV per cell
ΔE_f	-75	meV/atom

Below is a relaxed MgNb3Co8 crystal, with properties calculated at the PBE level.

Geometry as extended XYZ:
```
12
Lattice="-2.660 0.989 -3.834 -2.088 -0.747 4.223 0.516 7.586 1.597" Properties=species:S:1:pos:R:3 pbc="T T T"
Co -3.298 6.319 -0.513
Co -2.277 -0.138 1.544
Co -0.957 6.200 -0.704
Nb -2.433 0.936 -1.038
Co -3.404 1.925 1.351
Nb 0.478 7.015 1.477
Co -1.987 5.832 1.377
Nb -2.242 3.743 -0.447
Co -0.994 1.803 1.154
Co -2.020 3.641 2.339
Co -2.054 1.423 3.298
Mg 0.288 4.229 0.891
```

Output
size of the total moment	4.33	μB per formula unit
total DFT energy (no corrections)	-90.3	eV per cell
ΔE_f	-134	meV/atom

Below is a relaxed Mg2NbCo crystal, with properties calculated at the PBE level.

Geometry as extended XYZ:
```
8
Lattice="7.453 0.000 0.000 0.000 7.453 0.000 3.727 3.727 2.554" Properties=species:S:1:pos:R:3 pbc="T T T"
Co 3.727 3.727 0.000
Mg 2.239 5.590 0.639
Nb 0.000 0.000 0.000
Mg 5.590 5.966 1.916
Mg 9.317 8.941 1.916
Mg 5.214 1.863 0.639
Co 3.727 7.453 1.277
Nb 7.453 3.727 1.277
```

Output
size of the total moment	0.18	μB per formula unit
total DFT energy (no corrections)	-35.9	eV per cell
ΔE to the lowest computed polymorph	7.2	kJ per mole of atoms
ΔE_f	605	meV/atom

Below is a relaxed MgNbCo2 crystal, with properties calculated at the PBE level.

Geometry as extended XYZ:
```
4
Lattice="9.639 0.000 0.000 4.820 2.766 0.288 4.820 1.269 2.474" Properties=species:S:1:pos:R:3 pbc="T T T"
Co 7.131 0.000 0.000
Mg 0.000 0.000 0.000
Co 2.508 0.000 0.000
Nb 4.820 0.000 0.000
```

Output
size of the total moment	1.46	μB per formula unit
total DFT energy (no corrections)	-22.9	eV per cell
ΔE_f	751	meV/atom

Below is a relaxed MgNb2Co2 crystal, with properties calculated at the PBE level.

Geometry as extended XYZ:
```
10
Lattice="-1.906 -0.548 7.291 3.108 -6.881 0.296 2.408 1.118 0.713" Properties=species:S:1:pos:R:3 pbc="T T T"
Co 2.642 -5.690 5.298
Nb 0.807 -2.497 1.190
Co 0.680 -2.367 6.711
Mg 0.601 -3.714 3.793
Co 2.930 -3.943 1.589
Mg 0.000 0.000 0.000
Nb 1.976 -6.048 2.811
Nb 0.395 -4.931 6.397
Co 0.967 -0.620 3.002
Nb -0.774 -1.380 4.775
```

Output
size of the total moment	0.00	μB per formula unit
total DFT energy (no corrections)	-70.9	eV per cell
ΔE to the lowest computed polymorph	18.5	kJ per mole of atoms
ΔE_f	98	meV/atom

Below is a relaxed MgNbCo2 crystal, with properties calculated at the PBE level.

Geometry as extended XYZ:
```
4
Lattice="2.979 0.000 0.000 0.000 4.333 0.000 0.000 0.000 4.333" Properties=species:S:1:pos:R:3 pbc="T T T"
Co 0.000 2.166 0.000
Mg 1.490 2.166 2.166
Co 0.000 0.000 2.166
Nb 1.490 0.000 0.000
```

Output
size of the total moment	1.17	μB per formula unit
total DFT energy (no corrections)	-25.9	eV per cell
ΔE_f	-16	meV/atom

Below is a relaxed MgNb3Co crystal, with properties calculated at the PBE level.

Geometry as extended XYZ:
```
5
Lattice="-2.213 -3.870 1.400 4.111 -2.001 0.964 -0.199 1.689 4.353" Properties=species:S:1:pos:R:3 pbc="T T T"
Nb -0.100 0.844 2.176
Nb 2.056 -1.001 0.482
Co 0.850 -2.092 3.359
Mg 0.000 0.000 0.000
Nb -1.106 -1.935 0.700
```

Output
size of the total moment	0.00	μB per formula unit
total DFT energy (no corrections)	-28.5	eV per cell
ΔE to the lowest computed polymorph	140.1	kJ per mole of atoms
ΔE_f	2077	meV/atom

Below is a relaxed Mg14NbCo crystal, with properties calculated at the PBE level.

Geometry as extended XYZ:
```
16
Lattice="3.073 -5.454 0.000 3.073 5.454 0.000 0.000 0.000 9.992" Properties=species:S:1:pos:R:3 pbc="T T T"
Mg 4.614 0.939 2.663
Mg 1.532 0.939 2.663
Mg 3.073 3.576 2.520
Mg 3.073 -1.944 7.265
Mg 3.073 -3.634 0.000
Mg 4.596 -0.905 0.000
Mg 4.614 0.939 7.328
Mg 3.073 1.804 0.000
Co 3.073 -3.632 4.996
Nb 3.073 1.916 4.996
Mg 3.073 -1.944 2.726
Mg 1.550 -0.905 0.000
Mg 1.487 -0.832 4.996
Mg 4.659 -0.832 4.996
Mg 1.532 0.939 7.328
Mg 3.073 3.576 7.471
```

Output
size of the total moment	1.03	μB per formula unit
total DFT energy (no corrections)	-37.7	eV per cell
ΔE to the lowest computed polymorph	0.0	kJ per mole of atoms
ΔE_f	110	meV/atom

Below is a relaxed Mg4Nb2Co crystal, with properties calculated at the PBE level.

Geometry as extended XYZ:
```
7
Lattice="5.027 0.000 0.000 0.000 5.027 0.000 2.513 2.513 6.607" Properties=species:S:1:pos:R:3 pbc="T T T"
Mg 2.513 0.000 0.000
Mg 5.027 5.027 2.451
Nb 5.027 5.027 5.460
Mg 2.513 2.513 4.156
Nb 2.513 2.513 1.147
Mg 0.000 2.513 0.000
Co 0.000 0.000 0.000
```

Output
size of the total moment	0.00	μB per formula unit
total DFT energy (no corrections)	-27.8	eV per cell
ΔE_f	831	meV/atom

Below is a relaxed MgNb3Co crystal, with properties calculated at the PBE level.

Geometry as extended XYZ:
```
5
Lattice="4.650 0.000 0.000 0.000 4.650 0.000 0.000 0.000 4.650" Properties=species:S:1:pos:R:3 pbc="T T T"
Nb 2.325 0.000 0.000
Co 0.000 0.000 0.000
Nb 0.000 2.325 0.000
Nb 0.000 0.000 2.325
Mg 2.325 2.325 2.325
```

Output
size of the total moment	0.00	μB per formula unit
total DFT energy (no corrections)	-35.8	eV per cell
ΔE to the lowest computed polymorph	0.0	kJ per mole of atoms
ΔE_f	625	meV/atom

Question: Look up the total DFT energy (no corrections) of the third one.
Answer: -26.2 eV per cell

Question: Which value of size of the total moment does entry 2 give?
Answer: 0.00 μB per formula unit

Question: What is the ΔE_f in the seventh record?
Answer: 98 meV/atom